Entry 1:
A plane-wave DFT calculation with GGA-PBEsol was carried out for an optimized crystal structure of Rb2Ti6O13.

Lattice parameters (Å, degrees): 3.8104 8.1751 9.1031 99.99 90.00 103.48
Last column: nearest neighbours and their distance in Å.
Sites, in units of the cell vectors:
Rb: 0.4545 0.9090 0.2480  6 O 2.75-2.96
Rb: 0.5455 0.0910 0.7520  6 O 2.75-2.96
Ti: 0.1146 0.2293 0.0955  5 O 1.87-1.97
Ti: 0.8854 0.7707 0.9045  5 O 1.87-1.97
Ti: 0.1740 0.3480 0.4373  4 O 1.81-1.97
Ti: 0.8260 0.6520 0.5627  4 O 1.81-1.97
Ti: 0.2344 0.4688 0.7787  4 O 1.77-1.97
Ti: 0.7656 0.5312 0.2213  4 O 1.77-1.97
O: 0.0000 0.0000 0.0000  2 Ti 1.87
O: 0.2383 0.4765 0.2395  3 Ti 1.97-2.16
O: 0.7617 0.5235 0.7605  3 Ti 1.97-2.16
O: 0.0812 0.1624 0.2904  2 Ti 1.81-1.94
O: 0.9188 0.8376 0.7096  2 Ti 1.81-1.94
O: 0.2966 0.5932 0.5720  3 Ti 1.97-2.11
O: 0.7034 0.4068 0.4280  3 Ti 1.97-2.11
O: 0.1387 0.2774 0.6165  2 Ti 1.82-1.92
O: 0.8613 0.7226 0.3835  2 Ti 1.82-1.92
O: 0.3591 0.7181 0.8891  3 Ti 1.95-2.06
O: 0.6409 0.2819 0.1109  3 Ti 1.95-2.06
O: 0.1699 0.3398 0.9182  2 Ti 1.77-1.97
O: 0.8301 0.6602 0.0818  2 Ti 1.77-1.97


Entry 2:
A plane-wave DFT calculation with GGA-PBEsol was carried out for an optimized crystal structure of Rb4TiO4.

Lattice parameters (Å, degrees): 6.8338 11.0079 10.9185 111.69 90.00 90.00
Last column: nearest neighbours and their distance in Å.
Sites, in units of the cell vectors:
Rb: 0.3023 0.2961 0.9286  5 O 2.80-2.97
Rb: 0.8281 0.3901 0.8691  4 O 2.70-2.80
Rb: 0.6059 0.0830 0.6632  4 O 2.74-2.87
Rb: 0.1977 0.7961 0.9286  5 O 2.80-2.97
Rb: 0.6719 0.8901 0.8691  4 O 2.70-2.80
Rb: 0.0846 0.1975 0.5607  4 O 2.76-3.08
Rb: 0.8941 0.5830 0.6632  4 O 2.74-2.87
Rb: 0.5846 0.3025 0.4393  4 O 2.76-3.08
Rb: 0.4154 0.6975 0.5607  4 O 2.76-3.08
Rb: 0.1059 0.4170 0.3368  4 O 2.74-2.87
Rb: 0.9154 0.8025 0.4393  4 O 2.76-3.08
Rb: 0.3281 0.1099 0.1309  4 O 2.70-2.80
Rb: 0.8023 0.2039 0.0714  5 O 2.80-2.97
Rb: 0.3941 0.9170 0.3368  4 O 2.74-2.87
Rb: 0.1719 0.6099 0.1309  4 O 2.70-2.80
Rb: 0.6977 0.7039 0.0714  5 O 2.80-2.97
Ti: 0.3679 0.4910 0.7422  4 O 1.82-1.85
Ti: 0.1321 0.9910 0.7422  4 O 1.82-1.85
Ti: 0.8679 0.0090 0.2578  4 O 1.82-1.85
Ti: 0.6321 0.5090 0.2578  4 O 1.82-1.85
O: 0.9698 0.1353 0.8041  1 Ti 1.85
O: 0.1635 0.5176 0.8589  1 Ti 1.84
O: 0.4974 0.3393 0.7228  1 Ti 1.83
O: 0.5302 0.6353 0.8041  1 Ti 1.85
O: 0.3365 0.0176 0.8589  1 Ti 1.84
O: 0.2660 0.4729 0.5820  1 Ti 1.82
O: 0.7660 0.0271 0.4180  1 Ti 1.82
O: 0.0026 0.8393 0.7228  1 Ti 1.83
O: 0.9974 0.1607 0.2772  1 Ti 1.83
O: 0.2340 0.9729 0.5820  1 Ti 1.82
O: 0.7340 0.5271 0.4180  1 Ti 1.82
O: 0.6635 0.9824 0.1411  1 Ti 1.84
O: 0.4698 0.3647 0.1959  1 Ti 1.85
O: 0.5026 0.6607 0.2772  1 Ti 1.83
O: 0.8365 0.4824 0.1411  1 Ti 1.84
O: 0.0302 0.8647 0.1959  1 Ti 1.85


Entry 3:
A plane-wave DFT calculation with GGA-PBEsol was carried out for an optimized crystal structure of Rb2TiO3.

Lattice parameters (Å, degrees): 5.9942 6.6451 13.2521 90.00 90.00 116.81
Last column: nearest neighbours and their distance in Å.
Sites, in units of the cell vectors:
Rb: 0.1319 0.2638 0.4256  7 O 2.82-3.03
Rb: 0.6319 0.2638 0.0744  7 O 2.82-3.03
Rb: 0.3681 0.7362 0.9256  7 O 2.82-3.03
Rb: 0.8681 0.7362 0.5744  7 O 2.82-3.03
Rb: 0.0577 0.1155 0.8633  5 O 2.86-3.05
Rb: 0.9423 0.8845 0.1367  5 O 2.86-3.05
Rb: 0.4423 0.8845 0.3633  5 O 2.86-3.05
Rb: 0.5577 0.1155 0.6367  5 O 2.86-3.05
Ti: 0.7449 0.4897 0.8306  4 O 1.77-1.88
Ti: 0.7551 0.5103 0.3306  4 O 1.77-1.88
Ti: 0.2551 0.5103 0.1694  4 O 1.77-1.88
Ti: 0.2449 0.4897 0.6694  4 O 1.77-1.88
O: 0.5265 0.5531 0.7500  2 Ti 1.88
O: 0.9735 0.4469 0.2500  2 Ti 1.88
O: 0.4735 0.4469 0.2500  2 Ti 1.88
O: 0.0265 0.5531 0.7500  2 Ti 1.88
O: 0.0999 0.1998 0.6364  1 Ti 1.77
O: 0.9001 0.8002 0.3636  1 Ti 1.77
O: 0.4001 0.8002 0.1364  1 Ti 1.77
O: 0.8324 0.6648 0.9391  1 Ti 1.77
O: 0.3324 0.6648 0.5609  1 Ti 1.77
O: 0.6676 0.3352 0.4391  1 Ti 1.77
O: 0.1676 0.3352 0.0609  1 Ti 1.77
O: 0.5999 0.1998 0.8636  1 Ti 1.77


Number 1: uncorrected formation energy -2.934 eV/atom. Number 2: uncorrected formation energy -2.032 eV/atom. Number 3: uncorrected formation energy -2.402 eV/atom.